MoIr3 | PBE | optimized geometry

a = 3.900 Å, b = 4.760 Å, c = 3.900 Å
α = 65.82°, β = 90.00°, γ = 114.18°
Sites, in units of the cell vectors:
Ir 0.500 0.000 0.500
Ir 0.750 0.500 0.750
Ir 0.000 0.000 0.000
Mo 0.250 0.500 0.250

Results
Energy of formation, eV/atom: -0.2243